No. 1
Tl2CoSe: relaxed, PBE.

## Properties
As for the calculated density: 9.61 g cm⁻³. The value obtained for the formation energy (no corrections) is 0.482 eV/atom. Its density of states at the Fermi level is 4.7 states/eV per cell.

Cell: 5.9311 5.9311 5.9311 Å, 137.40 137.40 61.82°
With the nearest neighbours (Å) after each atom.
Positions (direct):
Co (0.2500, 0.7500, 0.5000)  4 Se 3.05, 8 Tl 3.33
Se (0.7500, 0.2500, 0.5000)  4 Co 3.05, 8 Tl 3.33
Tl (0.0000, 0.0000, 0.0000)  4 Tl 3.05, 4 Se 3.33, 4 Co 3.33
Tl (0.5000, 0.5000, 0.0000)  4 Tl 3.05, 4 Co 3.33, 4 Se 3.33

No. 2
CuSnCl6: relaxed, PBE.

## Properties
As for the calculated density: 2.74 g cm⁻³. The value obtained for the formation energy (no corrections) is -0.677 eV/atom. Its density of states at the Fermi level is 0.1 states/eV per cell.

Cell: 5.7347 8.2002 7.6424 Å, 48.68 66.67 63.92°
With the nearest neighbours (Å) after each atom.
Positions (direct):
Cu (0.5000, 0.5000, 0.5000)  4 Cl 2.27-2.32
Sn (0.0000, 0.0000, 0.0000)  6 Cl 2.36-2.57
Cl (0.1375, 0.3633, 0.7640)  1 Cu 2.32, 1 Sn 2.57
Cl (0.7862, 0.1537, 0.6618)  1 Cu 2.27
Cl (0.6215, 0.1784, 0.1478)  1 Sn 2.36
Cl (0.2138, 0.8463, 0.3382)  1 Cu 2.27
Cl (0.8625, 0.6367, 0.2360)  1 Cu 2.32, 1 Sn 2.57
Cl (0.3785, 0.8216, 0.8522)  1 Sn 2.36

No. 3
ZrPbAu2: relaxed, PBE.

## Properties
The formation energy is -0.178 eV/atom. As for the calculated density: 13.06 g cm⁻³. Its density of states at the Fermi level is 1.9 states/eV per cell.

Cell: 5.0165 5.0165 5.5084 Å, 79.23 79.23 40.40°
With the nearest neighbours (Å) after each atom.
Positions (direct):
Au (0.9991, 0.9991, 0.0110)  3 Zr 2.85-2.87, 3 Au 2.95-2.97
Au (0.7416, 0.7416, 0.7744)  3 Pb 2.95-3.08, 3 Au 2.95-2.97, 2 Zr 2.95
Pb (0.4971, 0.4971, 0.5139)  7 Au 2.95-3.26, 3 Zr 3.06-3.24
Zr (0.2622, 0.2622, 0.2006)  5 Au 2.85-2.95, 1 Pb 3.06

No. 4
LuAlNiAg: relaxed, PBE.

## Properties
The formation energy is -0.358 eV/atom. As for the calculated density: 8.87 g cm⁻³. Its density of states at the Fermi level is 2.7 states/eV per cell.

Cell: 4.6033 4.6033 4.6033 Å, 60.00 60.00 60.00°
With the nearest neighbours (Å) after each atom.
Positions (direct):
Ni (0.7500, 0.7500, 0.7500)  4 Al 2.82, 4 Lu 2.82
Lu (0.0000, 0.0000, 0.0000)  4 Ni 2.82, 4 Ag 2.82
Al (0.5000, 0.5000, 0.5000)  4 Ni 2.82, 4 Ag 2.82
Ag (0.2500, 0.2500, 0.2500)  4 Al 2.82, 4 Lu 2.82

No. 5
SiAuCl2: relaxed, PBE.

## Properties
As for the calculated density: 5.50 g cm⁻³. The value obtained for the formation energy (no corrections) is 0.078 eV/atom. Its density of states at the Fermi level is 1.7 states/eV per cell.

Cell: 3.2640 3.2640 8.3859 Å, 90.00 90.00 90.00°
With the nearest neighbours (Å) after each atom.
Positions (direct):
Au (0.5000, 0.5000, 0.7161)  4 Si 2.75, 4 Cl 2.83
Cl (0.0000, 0.0000, 0.9109)  4 Au 2.83, 1 Si 3.13
Cl (0.5000, 0.5000, 0.3354)  4 Si 2.86, 1 Au 3.19
Si (0.0000, 0.0000, 0.5376)  4 Au 2.75, 4 Cl 2.86

No. 6
ZnAgCl2: relaxed, PBE.

## Properties
As for the calculated density: 4.70 g cm⁻³. The value obtained for the formation energy (no corrections) is -0.400 eV/atom. Its density of states at the Fermi level is 0.6 states/eV per cell.

Cell: 6.4865 6.4865 3.8133 Å, 105.55 105.55 34.10°
With the nearest neighbours (Å) after each atom.
Positions (direct):
Zn (0.4920, 0.4920, 0.4581)  3 Cl 2.40-2.60, 1 Ag 2.64
Ag (0.7124, 0.7124, 0.7368)  1 Zn 2.64, 4 Cl 2.83-2.87
Cl (0.0049, 0.0049, 0.0056)  4 Zn 2.60-2.80
Cl (0.2906, 0.2906, 0.2995)  1 Zn 2.40

No. 7
CdH: relaxed, PBE.

## Properties
As for the calculated density: 6.15 g cm⁻³. The value obtained for the total energy is -1.81 eV per atom.

Cell: 3.2310 3.2301 7.0228 Å, 77.01 76.86 60.00°
With the nearest neighbours (Å) after each atom.
Positions (direct):
Cd (0.7255, 0.7235, 0.8188)  3 H 2.10
Cd (0.2745, 0.2765, 0.1812)  3 H 2.10
H (0.1072, 0.1032, 0.6769)  3 Cd 2.10
H (0.8928, 0.8968, 0.3231)  3 Cd 2.10

No. 8
BaMg2As: relaxed, PBE.

## Properties
The formation energy is -0.394 eV/atom. As for the calculated density: 3.31 g cm⁻³. Its density of states at the Fermi level is 1.8 states/eV per cell.

Cell: 4.4560 5.6136 5.5962 Å, 69.31 90.00 90.00°
With the nearest neighbours (Å) after each atom.
Positions (direct):
As (0.5000, 0.2500, 0.2500)  4 Mg 2.72
Ba (0.5000, 0.7500, 0.7500)  2 As 3.19
Mg (0.0000, 0.0796, 0.0809)  2 As 2.72
Mg (0.0000, 0.4204, 0.4191)  2 As 2.72

No. 9
Na2LaNpCl8: relaxed, PBE.

## Properties
As for the calculated density: 3.13 g cm⁻³. The value obtained for the formation energy (no corrections) is -1.954 eV/atom. Its density of states at the Fermi level is 5.3 states/eV per cell.

Cell: 6.6399 6.5414 8.6268 Å, 90.47 90.43 92.88°
With the nearest neighbours (Å) after each atom.
Positions (direct):
Na (0.5011, 0.5011, 0.7514)  6 Cl 2.82-2.98
Na (0.4989, 0.4989, 0.2486)  6 Cl 2.82-2.98
La (0.0000, 0.0000, 0.5000)  6 Cl 2.74-2.85
Np (0.0000, 0.0000, 0.0000)  6 Cl 2.69-2.78
Cl (0.1741, 0.7968, 0.2447)  1 Np 2.78, 1 La 2.85, 1 Na 2.98
Cl (0.6921, 0.7157, 0.0034)  1 Np 2.69, 2 Na 2.84
Cl (0.8225, 0.2001, 0.2451)  1 Np 2.78, 1 La 2.85, 1 Na 2.98
Cl (0.8259, 0.2032, 0.7553)  1 Np 2.78, 1 La 2.85, 1 Na 2.98
Cl (0.3079, 0.2843, 0.9966)  1 Np 2.69, 2 Na 2.84
Cl (0.1775, 0.7999, 0.7549)  1 Np 2.78, 1 La 2.85, 1 Na 2.98
Cl (0.6868, 0.7107, 0.5009)  1 La 2.74, 2 Na 2.82-2.83
Cl (0.3132, 0.2893, 0.4991)  1 La 2.74, 2 Na 2.82-2.83

No. 10
MnSb2As: relaxed, PBE.

## Properties
As for the calculated density: 6.84 g cm⁻³. The value obtained for the formation energy (no corrections) is 0.447 eV/atom. Its density of states at the Fermi level is 3.4 states/eV per cell.

Cell: 5.0421 5.0421 5.0421 Å, 60.00 60.00 60.00°
With the nearest neighbours (Å) after each atom.
Positions (direct):
As (0.5000, 0.5000, 0.5000)  4 Sb 3.09, 4 Mn 3.09
Mn (0.7500, 0.7500, 0.7500)  4 As 3.09, 4 Sb 3.09
Sb (0.0000, 0.0000, 0.0000)  4 Mn 3.09, 4 Sb 3.09
Sb (0.2500, 0.2500, 0.2500)  4 Sb 3.09, 4 As 3.09

No. 11
Sr2PmGa3Pt4: relaxed, PBE.

## Properties
The formation energy is -0.868 eV/atom. As for the calculated density: 9.79 g cm⁻³. Its density of states at the Fermi level is 6.8 states/eV per cell.

Cell: 4.4528 4.4528 11.1990 Å, 90.00 90.00 90.00°
With the nearest neighbours (Å) after each atom.
Positions (direct):
Sr (0.5000, 0.0000, 0.2243)  8 Pt 3.36-3.41, 4 Ga 3.38
Sr (0.0000, 0.5000, 0.7757)  8 Pt 3.36-3.41, 4 Ga 3.38
Pm (0.5000, 0.5000, 0.5000)  4 Pt 2.85, 4 Ga 3.15
Ga (0.0000, 0.0000, 0.5000)  4 Pt 2.85, 4 Pm 3.15
Ga (0.5000, 0.0000, 0.8860)  5 Pt 2.55-2.57
Ga (0.0000, 0.5000, 0.1140)  5 Pt 2.55-2.57
Pt (0.5000, 0.5000, 0.0000)  4 Ga 2.57
Pt (0.0000, 0.0000, 0.0000)  4 Ga 2.57
Pt (0.5000, 0.0000, 0.6586)  3 Ga 2.55-2.85, 2 Pm 2.85
Pt (0.0000, 0.5000, 0.3414)  3 Ga 2.55-2.85, 2 Pm 2.85

No. 12
Hg2IrSe: relaxed, PBE.

## Properties
As for the calculated density: 14.46 g cm⁻³. The value obtained for the formation energy (no corrections) is 0.585 eV/atom. Its density of states at the Fermi level is 2.5 states/eV per cell.

Cell: 5.3341 5.3341 5.3341 Å, 134.02 134.02 67.06°
With the nearest neighbours (Å) after each atom.
Positions (direct):
Hg (0.0000, 0.0000, 0.0000)  4 Hg 2.95, 4 Se 3.05, 4 Ir 3.05
Hg (0.5000, 0.5000, 0.0000)  4 Hg 2.95, 4 Ir 3.05, 4 Se 3.05
Ir (0.2500, 0.7500, 0.5000)  4 Se 2.95, 8 Hg 3.05
Se (0.7500, 0.2500, 0.5000)  4 Ir 2.95, 8 Hg 3.05

> Which of these has the lowest calculated density?

CuSnCl6